w.
Entry from Alexandria via LeMat-Bulk: an optimized crystal structure of LaNd4Ho3 (PBE).

Its density of states at the Fermi level is 29.33 states/eV per cell.

The structure belongs to space group Immm (No. 71); the cell edges are 3.506, 11.809 and 13.137 Å and the angles 90.00°, 90.00° and 90.00°. The inequivalent atoms are La at (0.000, 0.000, 0.000), Nd at (0.000, 0.251, 0.134), Ho at (0.000, 0.000, 0.500) and Ho at (0.000, 0.500, 0.259).



x.
Entry from Alexandria via LeMat-Bulk: an optimized crystal structure of LaNd4Ho3 (PBE).

Its density of states at the Fermi level is 28.15 states/eV per cell.

The structure belongs to space group Pmn2_1 (No. 31); the cell edges are 11.690, 7.372 and 6.358 Å and the angles 90.00°, 90.00° and 90.00°. The inequivalent atoms are La at (0.000, 0.125, 0.000), Nd at (0.000, 0.373, 0.508), Nd at (0.000, 0.630, 0.998), Nd at (0.246, 0.626, 0.337), Ho at (0.000, 0.877, 0.502) and Ho at (0.249, 0.122, 0.335).



Energies relative to the minimum, meV/atom: w 97; x 0



w.
Entry from Alexandria via LeMat-Bulk: an optimized crystal structure of La3Nd4Ho4 (PBE).

Its density of states at the Fermi level is 16.20 states/eV per cell.

The structure belongs to space group P-1 (No. 2); the cell edges are 3.653, 5.164 and 20.171 Å and the angles 97.34°, 95.19° and 90.04°. The inequivalent atoms are La at (0.000, 0.000, 0.000), La at (0.363, 0.363, 0.726), Nd at (0.183, 0.183, 0.367), Nd at (0.453, 0.454, 0.907), Ho at (0.091, 0.091, 0.183) and Ho at (0.272, 0.272, 0.544).



x.
Entry from Alexandria via LeMat-Bulk: an optimized crystal structure of La3Nd4Ho4 (PBE).

Its density of states at the Fermi level is 36.72 states/eV per cell.

The structure belongs to space group Amm2 (No. 38); the cell edges are 10.914, 5.800 and 12.186 Å and the angles 90.00°, 90.00° and 90.00°. The inequivalent atoms are La at (0.000, 0.000, 0.000), La at (0.287, 0.000, 0.161), Nd at (0.000, 0.000, 0.704), Nd at (0.216, 0.000, 0.496), Nd at (0.500, 0.000, 0.632), Ho at (0.000, 0.000, 0.306), Ho at (0.307, 0.000, 0.855) and Ho at (0.500, 0.000, 0.359).



Energies relative to the minimum, meV/atom: w 0; x 128



w.
Entry from Alexandria via LeMat-Bulk: an optimized crystal structure of La6NdHo2 (PBE).

Its density of states at the Fermi level is 27.56 states/eV per cell.

The structure belongs to space group Cmmm (No. 65); the cell edges are 9.530, 18.002 and 3.704 Å and the angles 90.00°, 90.00° and 90.00°. The inequivalent atoms are La at (0.173, 0.166, 0.000), La at (0.174, 0.000, 0.500), Nd at (0.000, 0.500, 0.000) and Ho at (0.000, 0.323, 0.500).



x.
Entry from Alexandria via LeMat-Bulk: an optimized crystal structure of La6NdHo2 (PBE).

Its density of states at the Fermi level is 16.73 states/eV per cell.

The structure belongs to space group P-6m2 (No. 187); the cell edges are 3.6705, 3.6705 and 27.6808 Å and the angles 90.00°, 90.00° and 120.00°. The inequivalent atoms are La at (0.0000, 0.0000, 0.0664), La at (0.0000, 0.0000, 0.2755), La at (0.3333, 0.6667, 0.3894), Nd at (0.0000, 0.0000, 0.5000) and Ho at (0.3333, 0.6667, 0.1695).



Energies relative to the minimum, meV/atom: w 59; x 0



w.
Entry from Alexandria via LeMat-Bulk: an optimized crystal structure of La4Nd7Ho (PBE).

Its density of states at the Fermi level is 41.99 states/eV per cell.

The structure belongs to space group C2/m (No. 12); the cell edges are 12.273, 6.163 and 13.129 Å and the angles 90.00°, 117.30° and 90.00°. The inequivalent atoms are La at (0.055, 0.000, 0.334), La at (0.137, 0.500, 0.778), Nd at (0.000, 0.000, 0.000), Nd at (0.136, 0.500, 0.503), Nd at (0.210, 0.000, 0.923), Nd at (0.240, 0.500, 0.310) and Ho at (0.000, 0.500, 0.000).



x.
Entry from Alexandria via LeMat-Bulk: an optimized crystal structure of La4Nd7Ho (PBE).

Its density of states at the Fermi level is 21.08 states/eV per cell.

The structure belongs to space group P-1 (No. 2); the cell edges are 6.395, 7.368 and 9.766 Å and the angles 79.19°, 70.90° and 89.91°. The inequivalent atoms are La at (0.167, 0.416, 0.333), La at (0.331, 0.835, 0.669), Nd at (0.000, 0.500, 0.000), Nd at (0.166, 0.917, 0.331), Nd at (0.332, 0.332, 0.669), Nd at (0.499, 0.248, 0.000) and Ho at (0.000, 0.000, 0.000).



Energies relative to the minimum, meV/atom: w 211; x 0



w.
Entry from Alexandria via LeMat-Bulk: an optimized crystal structure of La2Nd3Ho2 (PBE).

Its density of states at the Fermi level is 23.10 states/eV per cell.

The structure belongs to space group C2/m (No. 12); the cell edges are 17.950, 3.570 and 8.714 Å and the angles 90.00°, 118.98° and 90.00°. The inequivalent atoms are La at (0.064, 0.000, 0.413), Nd at (0.000, 0.500, 0.000), Nd at (0.213, 0.500, 0.295) and Ho at (0.151, 0.500, 0.839).



x.
Entry from Alexandria via LeMat-Bulk: an optimized crystal structure of La2Nd3Ho2 (PBE).

Its density of states at the Fermi level is 19.65 states/eV per cell.

The structure belongs to space group C2/m (No. 12); the cell edges are 12.036, 3.670 and 10.977 Å and the angles 90.00°, 95.68° and 90.00°. The inequivalent atoms are La at (0.217, 0.000, 0.355), Nd at (0.000, 0.500, 0.500), Nd at (0.141, 0.500, 0.070) and Ho at (0.070, 0.000, 0.788).



Energies relative to the minimum, meV/atom: w 104; x 0



w.
Entry from Alexandria via LeMat-Bulk: an optimized crystal structure of La2Nd6Ho (PBE).

Its density of states at the Fermi level is 15.98 states/eV per cell.

The structure belongs to space group P-6m2 (No. 187); the cell edges are 3.6710, 3.6710 and 27.4176 Å and the angles 90.00°, 90.00° and 120.00°. The inequivalent atoms are La at (0.0000, 0.0000, 0.1709), Nd at (0.0000, 0.0000, 0.3946), Nd at (0.6667, 0.3333, 0.0621), Nd at (0.6667, 0.3333, 0.2854) and Ho at (0.6667, 0.3333, 0.5000).



x.
Entry from Alexandria via LeMat-Bulk: an optimized crystal structure of La2Nd6Ho (PBE).

Its density of states at the Fermi level is 26.01 states/eV per cell.

The structure belongs to space group P4_2/mnm (No. 136); the cell edges are 11.022, 11.022 and 5.219 Å and the angles 90.00°, 90.00° and 90.00°. The inequivalent atoms are La at (0.164, 0.164, 0.000), Nd at (0.000, 0.333, 0.500), Nd at (0.167, 0.833, 0.000) and Ho at (0.000, 0.000, 0.500).



Energies relative to the minimum, meV/atom: w 43; x 0



w.
Entry from Alexandria via LeMat-Bulk: an optimized crystal structure of LaNd7Ho12 (PBE).

Its density of states at the Fermi level is 110.28 states/eV per cell.

The structure belongs to space group R-3 (No. 148, hexagonal axes); the cell edges are 12.2827, 12.2827 and 15.4466 Å and the angles 90.00°, 90.00° and 120.00°. The inequivalent atoms are La at (0.0000, 0.0000, 0.0000), Nd at (0.0000, 0.0000, 0.5000), Nd at (0.0520, 0.4656, 0.5876), Ho at (0.0182, 0.5736, 0.2048) and Ho at (0.0442, 0.8577, 0.3024).



x.
Entry from Alexandria via LeMat-Bulk: an optimized crystal structure of LaNd7Ho12 (PBE).

Its density of states at the Fermi level is 59.43 states/eV per cell.

The structure belongs to space group Im-3 (No. 204); the cell edges are 11.335, 11.335 and 11.335 Å and the angles 90.00°, 90.00° and 90.00°. The inequivalent atoms are La at (0.000, 0.000, 0.000), Nd at (0.000, 0.000, 0.500), Nd at (0.250, 0.250, 0.250) and Ho at (0.000, 0.252, 0.253).



Energies relative to the minimum, meV/atom: w 0; x 398



w.
Entry from Alexandria via LeMat-Bulk: an optimized crystal structure of LaNd8Ho2 (PBE).

Its density of states at the Fermi level is 32.91 states/eV per cell.

The structure belongs to space group Immm (No. 71); the cell edges are 5.704, 8.401 and 16.119 Å and the angles 90.00°, 90.00° and 90.00°. The inequivalent atoms are La at (0.000, 0.000, 0.000), Nd at (0.000, 0.205, 0.500), Nd at (0.000, 0.296, 0.140), Nd at (0.000, 0.500, 0.337) and Ho at (0.000, 0.000, 0.300).



x.
Entry from Alexandria via LeMat-Bulk: an optimized crystal structure of LaNd8Ho2 (PBE).

Its density of states at the Fermi level is 33.19 states/eV per cell.

The structure belongs to space group C2/m (No. 12); the cell edges are 19.618, 7.130 and 5.702 Å and the angles 90.00°, 93.35° and 90.00°. The inequivalent atoms are La at (0.000, 0.000, 0.000), Nd at (0.045, 0.500, 0.240), Nd at (0.134, 0.269, 0.732), Nd at (0.188, 0.000, 0.232) and Ho at (0.215, 0.500, 0.253).



Energies relative to the minimum, meV/atom: w 0; x 26